A plane-wave DFT calculation with PBE+U was carried out for CoBi2TeO6 after structural relaxation.

Values from the calculation:
total DFT energy (no corrections) = -5.605 eV per atom
space-group type = P2_1/c (14)
magnetic moment = 0.300 μB per atom

Cell lengths 5.6352, 6.0988, 9.8482 Å; angles 90.00, 124.76, 90.00 degrees
Fractional coordinates of all 20 atoms:
Co: 0.0000 0.0000 0.0000
Co: 0.0000 0.5000 0.5000
Bi: 0.2494 0.0505 0.7615
Bi: 0.2494 0.4495 0.2615
Bi: 0.7506 0.5505 0.7385
Bi: 0.7506 0.9495 0.2385
Te: 0.5000 0.0000 0.5000
Te: 0.5000 0.5000 0.0000
O: 0.1147 0.1926 0.4329
O: 0.1147 0.3074 0.9329
O: 0.2850 0.6793 0.4547
O: 0.2850 0.8207 0.9547
O: 0.3678 0.0470 0.2424
O: 0.3678 0.4530 0.7424
O: 0.6322 0.5470 0.2576
O: 0.6322 0.9530 0.7576
O: 0.7150 0.1793 0.0453
O: 0.7150 0.3207 0.5453
O: 0.8853 0.6926 0.0671
O: 0.8853 0.8074 0.5671